w | The following is a PBE calculation of crystalline CaBe at its relaxed geometry, from Alexandria via LeMat-Bulk. Values from VASP.

```
&SYSTEM
  ibrav = 0, nat = 4, ntyp = 2
/
ATOMIC_SPECIES
Ca 40.08 Ca.upf
Be 9.01 Be.upf
ATOMIC_POSITIONS crystal
Ca 0.3487 0.0987 0.2500
Ca 0.6513 0.9013 0.7500
Be 0.0672 0.3172 0.7500
Be 0.9328 0.6828 0.2500
CELL_PARAMETERS angstrom
-1.7438 2.4837 4.8902
1.7438 -2.4837 4.8902
1.7438 2.4837 -4.8902
```

Calculated values
**SG**: Imma, No. 74



x | The following is a PBE calculation of crystalline CaBe at its relaxed geometry, from Alexandria via LeMat-Bulk. Values from VASP.

```
&SYSTEM
  ibrav = 0, nat = 8, ntyp = 2
/
ATOMIC_SPECIES
Ca 40.08 Ca.upf
Be 9.01 Be.upf
ATOMIC_POSITIONS crystal
Ca 0.3333 0.6667 0.1210
Ca 0.3333 0.6667 0.3790
Ca 0.6667 0.3333 0.6210
Ca 0.6667 0.3333 0.8790
Be 0.0000 0.0000 0.2500
Be 0.0000 0.0000 0.7500
Be 0.3333 0.6667 0.7500
Be 0.6667 0.3333 0.2500
CELL_PARAMETERS angstrom
3.9897 0.0000 0.0000
-1.9949 3.4552 0.0000
0.0000 0.0000 14.5422
```

Calculated values
**SG**: P6_3/mmc, No. 194



Most stable: x. Least stable: w.



w | The following is a PBE calculation of crystalline CaBe at its relaxed geometry, from Alexandria via LeMat-Bulk. Values from VASP.

```
&SYSTEM
  ibrav = 0, nat = 8, ntyp = 2
/
ATOMIC_SPECIES
Ca 40.08 Ca.upf
Be 9.01 Be.upf
ATOMIC_POSITIONS crystal
Ca 0.0000 0.0000 0.2500
Ca 0.0000 0.0000 0.7500
Ca 0.3333 0.6667 0.2500
Ca 0.6667 0.3333 0.7500
Be 0.3333 0.6667 0.6118
Be 0.3333 0.6667 0.8882
Be 0.6667 0.3333 0.1118
Be 0.6667 0.3333 0.3882
CELL_PARAMETERS angstrom
5.1458 0.0000 0.0000
-2.5729 4.4564 0.0000
0.0000 0.0000 7.5132
```

Calculated values
**SG**: P6_3/mmc, No. 194



x | The following is a PBE calculation of crystalline CaBe at its relaxed geometry, from Alexandria via LeMat-Bulk. Values from VASP.

```
&SYSTEM
  ibrav = 0, nat = 2, ntyp = 2
/
ATOMIC_SPECIES
Ca 40.08 Ca.upf
Be 9.01 Be.upf
ATOMIC_POSITIONS crystal
Ca 0.0000 0.0000 0.0000
Be 0.5000 0.5000 0.5000
CELL_PARAMETERS angstrom
2.0772 1.1993 3.5132
-2.0772 1.1993 3.5132
0.0000 -2.3986 3.5132
```

Calculated values
**SG**: R-3m, No. 166



Most stable: w. Least stable: x.



w | The following is a PBE calculation of crystalline CaBe at its relaxed geometry, from Alexandria via LeMat-Bulk. Values from VASP.

```
&SYSTEM
  ibrav = 0, nat = 4, ntyp = 2
/
ATOMIC_SPECIES
Ca 40.08 Ca.upf
Be 9.01 Be.upf
ATOMIC_POSITIONS crystal
Ca 0.0844 0.0844 0.0844
Ca 0.9156 0.9156 0.9156
Be 0.3333 0.3333 0.3333
Be 0.6667 0.6667 0.6667
CELL_PARAMETERS angstrom
2.0211 1.1669 7.1321
-2.0211 1.1669 7.1321
0.0000 -2.3337 7.1321
```

Calculated values
**SG**: R-3m, No. 166



x | The following is a PBE calculation of crystalline CaBe at its relaxed geometry, from Alexandria via LeMat-Bulk. Values from VASP.

```
&SYSTEM
  ibrav = 0, nat = 4, ntyp = 2
/
ATOMIC_SPECIES
Ca 40.08 Ca.upf
Be 9.01 Be.upf
ATOMIC_POSITIONS crystal
Ca 0.3333 0.6667 0.1959
Ca 0.6667 0.3333 0.8041
Be 0.3333 0.6667 0.5401
Be 0.6667 0.3333 0.4599
CELL_PARAMETERS angstrom
3.7465 0.0000 0.0000
-1.8733 3.2446 0.0000
0.0000 0.0000 8.4608
```

Calculated values
**SG**: P-3m1, No. 164



y | The following is a PBE calculation of crystalline CaBe at its relaxed geometry, from Alexandria via LeMat-Bulk. Values from VASP.

```
&SYSTEM
  ibrav = 0, nat = 12, ntyp = 2
/
ATOMIC_SPECIES
Ca 40.08 Ca.upf
Be 9.01 Be.upf
ATOMIC_POSITIONS crystal
Ca 0.0000 0.2500 0.5000
Ca 0.0000 0.7500 0.5000
Ca 0.2500 0.5000 0.0000
Ca 0.5000 0.0000 0.2500
Ca 0.5000 0.0000 0.7500
Ca 0.7500 0.5000 0.0000
Be 0.0000 0.5000 0.2500
Be 0.0000 0.5000 0.7500
Be 0.2500 0.0000 0.5000
Be 0.5000 0.2500 0.0000
Be 0.5000 0.7500 0.0000
Be 0.7500 0.0000 0.5000
CELL_PARAMETERS angstrom
8.1267 0.0000 0.0000
0.0000 8.1267 0.0000
0.0000 0.0000 8.1267
```

Calculated values
**SG**: Pm-3n, No. 223



z | The following is a PBE calculation of crystalline CaBe at its relaxed geometry, from Alexandria via LeMat-Bulk. Values from VASP.

```
&SYSTEM
  ibrav = 0, nat = 6, ntyp = 2
/
ATOMIC_SPECIES
Ca 40.08 Ca.upf
Be 9.01 Be.upf
ATOMIC_POSITIONS crystal
Ca 0.0000 0.0000 0.0000
Ca 0.0554 0.0554 0.5621
Ca 0.7686 0.7686 0.2907
Be 0.2671 0.2671 0.9344
Be 0.3402 0.3402 0.6754
Be 0.7574 0.7574 0.7696
CELL_PARAMETERS angstrom
5.4552 -1.8203 0.0000
5.4552 1.8203 0.0000
-1.0660 0.0000 6.9942
```

Calculated values
**SG**: Cm, No. 8



Most stable: w. Least stable: y.



w | The following is a PBE calculation of crystalline CaBe at its relaxed geometry, from Alexandria via LeMat-Bulk. Values from VASP.

```
&SYSTEM
  ibrav = 0, nat = 4, ntyp = 2
/
ATOMIC_SPECIES
Ca 40.08 Ca.upf
Be 9.01 Be.upf
ATOMIC_POSITIONS crystal
Ca 0.3333 0.6667 0.2500
Ca 0.6667 0.3333 0.7500
Be 0.0000 0.0000 0.0000
Be 0.0000 0.0000 0.5000
CELL_PARAMETERS angstrom
5.0114 0.0000 0.0000
-2.5057 4.3400 0.0000
0.0000 0.0000 4.1563
```

Calculated values
**SG**: P6_3/mmc, No. 194



x | The following is a PBE calculation of crystalline CaBe at its relaxed geometry, from Alexandria via LeMat-Bulk. Values from VASP.

```
&SYSTEM
  ibrav = 0, nat = 8, ntyp = 2
/
ATOMIC_SPECIES
Ca 40.08 Ca.upf
Be 9.01 Be.upf
ATOMIC_POSITIONS crystal
Ca 0.1899 0.1899 0.0000
Ca 0.3101 0.6899 0.5000
Ca 0.6899 0.3101 0.5000
Ca 0.8101 0.8101 0.0000
Be 0.1275 0.1275 0.5000
Be 0.3725 0.6275 0.0000
Be 0.6275 0.3725 0.0000
Be 0.8725 0.8725 0.5000
CELL_PARAMETERS angstrom
5.9131 0.0000 0.0000
0.0000 5.9131 0.0000
0.0000 0.0000 5.7566
```

Calculated values
**SG**: P4_2/mnm, No. 136



y | The following is a PBE calculation of crystalline CaBe at its relaxed geometry, from Alexandria via LeMat-Bulk. Values from VASP.

```
&SYSTEM
  ibrav = 0, nat = 12, ntyp = 2
/
ATOMIC_SPECIES
Ca 40.08 Ca.upf
Be 9.01 Be.upf
ATOMIC_POSITIONS crystal
Ca 0.2060 0.4119 0.2500
Ca 0.2060 0.7940 0.2500
Ca 0.4119 0.2060 0.7500
Ca 0.5881 0.7940 0.2500
Ca 0.7940 0.2060 0.7500
Ca 0.7940 0.5881 0.7500
Be 0.0366 0.5183 0.7500
Be 0.4817 0.5183 0.7500
Be 0.4817 0.9634 0.7500
Be 0.5183 0.0366 0.2500
Be 0.5183 0.4817 0.2500
Be 0.9634 0.4817 0.2500
CELL_PARAMETERS angstrom
10.0329 0.0000 0.0000
-5.0164 8.6887 0.0000
0.0000 0.0000 3.9543
```

Calculated values
**SG**: P6_3/mmc, No. 194



Most stable: w. Least stable: x.



w | The following is a PBE calculation of crystalline CaBe at its relaxed geometry, from Alexandria via LeMat-Bulk. Values from VASP.

```
&SYSTEM
  ibrav = 0, nat = 8, ntyp = 2
/
ATOMIC_SPECIES
Ca 40.08 Ca.upf
Be 9.01 Be.upf
ATOMIC_POSITIONS crystal
Ca 0.0761 0.6739 0.0761
Ca 0.3261 0.9239 0.3261
Ca 0.6739 0.0761 0.6739
Ca 0.9239 0.3261 0.9239
Be 0.2289 0.5211 0.5211
Be 0.4789 0.7711 0.7711
Be 0.5211 0.2289 0.2289
Be 0.7711 0.4789 0.4789
CELL_PARAMETERS angstrom
0.0000 4.6894 5.7066
3.6206 0.0000 5.7066
3.6206 4.6894 0.0000
```

Calculated values
**SG**: Fddd, No. 70



x | The following is a PBE calculation of crystalline CaBe at its relaxed geometry, from Alexandria via LeMat-Bulk. Values from VASP.

```
&SYSTEM
  ibrav = 0, nat = 8, ntyp = 2
/
ATOMIC_SPECIES
Ca 40.08 Ca.upf
Be 9.01 Be.upf
ATOMIC_POSITIONS crystal
Ca 0.0000 0.0000 0.4226
Ca 0.0000 0.4226 0.0000
Ca 0.4226 0.0000 0.0000
Ca 0.5774 0.5774 0.5774
Be 0.0000 0.0000 0.8187
Be 0.0000 0.8187 0.0000
Be 0.1813 0.1813 0.1813
Be 0.8187 0.0000 0.0000
CELL_PARAMETERS angstrom
-4.1386 4.1386 4.1386
4.1386 -4.1386 4.1386
4.1386 4.1386 -4.1386
```

Calculated values
**SG**: I-43m, No. 217



Most stable: w. Least stable: x.



w | The following is a PBE calculation of crystalline CaBe at its relaxed geometry, from Alexandria via LeMat-Bulk. Values from VASP.

```
&SYSTEM
  ibrav = 0, nat = 4, ntyp = 2
/
ATOMIC_SPECIES
Ca 40.08 Ca.upf
Be 9.01 Be.upf
ATOMIC_POSITIONS crystal
Ca 0.2500 0.0000 0.2411
Ca 0.7500 0.0000 0.7589
Be 0.2500 0.5000 0.5574
Be 0.7500 0.5000 0.4426
CELL_PARAMETERS angstrom
4.0364 0.0000 0.0000
0.0000 3.6718 0.0000
0.0000 0.0000 6.8926
```

Calculated values
**SG**: Pmma, No. 51



x | The following is a PBE calculation of crystalline CaBe at its relaxed geometry, from Alexandria via LeMat-Bulk. Values from VASP.

```
&SYSTEM
  ibrav = 0, nat = 2, ntyp = 2
/
ATOMIC_SPECIES
Ca 40.08 Ca.upf
Be 9.01 Be.upf
ATOMIC_POSITIONS crystal
Ca 0.0000 0.0000 0.0000
Be 0.2500 0.2500 0.2500
CELL_PARAMETERS angstrom
0.0000 3.2709 3.2709
3.2709 0.0000 3.2709
3.2709 3.2709 0.0000
```

Calculated values
**SG**: F-43m, No. 216



Most stable: w. Least stable: x.